Entry 1:
Mn2Be15Cu2 (PBE, optimized geometry); formation enthalpy at 0 K = -1.97 kcal/mol of atoms; space-group type = R-3m, No. 166; D(E_F) = 0.252 states/eV/atom; total moment = 0.27 μB/atom
1.0
3.670 2.119 3.585
-3.670 2.119 3.585
0.000 -4.238 3.585
Mn Be Cu
2 15 2
Direct
0.146 0.146 0.146
0.854 0.854 0.854
0.000 0.500 0.500
0.152 0.152 0.669
0.152 0.669 0.152
0.190 0.500 0.810
0.190 0.810 0.500
0.331 0.848 0.848
0.500 0.000 0.500
0.500 0.190 0.810
0.500 0.500 0.000
0.500 0.810 0.190
0.669 0.152 0.152
0.810 0.190 0.500
0.810 0.500 0.190
0.848 0.331 0.848
0.848 0.848 0.331
0.392 0.392 0.392
0.608 0.608 0.608


Entry 2:
Mn3BeCu (PBE, optimized geometry); energy above the lowest structure with this stoichiometry = 524 meV/atom; formation enthalpy at 0 K = 28.28 kcal/mol of atoms; space-group type = Pm-3m, No. 221; D(E_F) = 1.108 states/eV/atom; total moment = 2.27 μB/atom
1.0
4.487 0.000 0.000
0.000 4.487 0.000
0.000 0.000 4.487
Mn Be Cu
3 1 1
Direct
0.000 0.000 0.500
0.000 0.500 0.000
0.500 0.000 0.000
0.500 0.500 0.500
0.000 0.000 0.000


Entry 3:
MnBeCu2 (PBE, optimized geometry); formation enthalpy at 0 K = 2.69 kcal/mol of atoms; space-group type = P4/mmm, No. 123; D(E_F) = 0.607 states/eV/atom; total moment = 0.75 μB/atom
1.0
3.554 0.000 0.000
0.000 3.554 0.000
0.000 0.000 3.627
Mn Be Cu
1 1 2
Direct
0.000 0.000 0.000
0.500 0.500 0.000
0.000 0.500 0.500
0.500 0.000 0.500


Entry 4:
MnBeCu2 (PBE, optimized geometry); formation enthalpy at 0 K = 1.84 kcal/mol of atoms; space-group type = I4/mmm, No. 139; D(E_F) = 0.519 states/eV/atom; total moment = 0.81 μB/atom
1.0
-1.894 1.894 3.207
1.894 -1.894 3.207
1.894 1.894 -3.207
Mn Be Cu
1 1 2
Direct
0.000 0.000 0.000
0.500 0.500 0.000
0.250 0.750 0.500
0.750 0.250 0.500


Entry 5:
MnBeCu (PBE, optimized geometry); energy above the lowest structure with this stoichiometry = 187 meV/atom; formation enthalpy at 0 K = 1.79 kcal/mol of atoms; space-group type = P3m1, No. 156; D(E_F) = 0.662 states/eV/atom; total moment = 0.98 μB/atom
1.0
3.863 0.000 0.000
-1.932 3.346 0.000
0.000 0.000 2.592
Mn Be Cu
1 1 1
Direct
0.000 0.000 0.000
0.667 0.333 0.499
0.333 0.667 0.501


Entry 6:
MnBeCu (PBE, optimized geometry); energy above the lowest structure with this stoichiometry = 0 meV/atom; formation enthalpy at 0 K = -2.52 kcal/mol of atoms; space-group type = P4/nmm, No. 129; D(E_F) = 0.496 states/eV/atom; total moment = 0.00 μB/atom
1.0
2.678 0.000 0.000
0.000 2.678 0.000
0.000 0.000 8.493
Mn Be Cu
2 2 2
Direct
0.250 0.250 0.077
0.750 0.750 0.923
0.250 0.250 0.763
0.750 0.750 0.237
0.250 0.250 0.396
0.750 0.750 0.604


Entry 7:
MnBeCu (PBE, optimized geometry); energy above the lowest structure with this stoichiometry = 128 meV/atom; formation enthalpy at 0 K = 0.43 kcal/mol of atoms; space-group type = I4mm, No. 107; D(E_F) = 0.660 states/eV/atom; total moment = 0.80 μB/atom
1.0
-1.296 1.296 4.752
1.296 -1.296 4.752
1.296 1.296 -4.752
Mn Be Cu
1 1 1
Direct
0.000 0.000 0.000
0.347 0.347 0.000
0.697 0.697 0.000


Entry 8:
MnBe17Cu (PBE, optimized geometry); formation enthalpy at 0 K = -0.69 kcal/mol of atoms; space-group type = R3m, No. 160; D(E_F) = 0.233 states/eV/atom; total moment = 0.07 μB/atom
1.0
3.581 2.067 3.594
-3.581 2.067 3.594
0.000 -4.135 3.594
Mn Be Cu
1 17 1
Direct
0.000 0.000 0.000
0.013 0.326 0.637
0.013 0.637 0.326
0.156 0.672 0.672
0.224 0.224 0.224
0.316 0.316 0.828
0.316 0.828 0.316
0.326 0.013 0.637
0.326 0.637 0.013
0.425 0.425 0.425
0.485 0.984 0.984
0.637 0.013 0.326
0.637 0.326 0.013
0.672 0.156 0.672
0.672 0.672 0.156
0.828 0.316 0.316
0.984 0.485 0.984
0.984 0.984 0.485
0.696 0.696 0.696


Entry 9:
MnBe2Cu (PBE, optimized geometry); formation enthalpy at 0 K = 1.45 kcal/mol of atoms; space-group type = F-43m, No. 216; D(E_F) = 0.504 states/eV/atom; total moment = 0.78 μB/atom
1.0
0.000 2.759 2.759
2.759 0.000 2.759
2.759 2.759 0.000
Mn Be Cu
1 2 1
Direct
0.000 0.000 0.000
0.500 0.500 0.500
0.750 0.750 0.750
0.250 0.250 0.250


Entry 10:
MnBeCu2 (PBE, optimized geometry); formation enthalpy at 0 K = 9.01 kcal/mol of atoms; space-group type = I-42d, No. 122; D(E_F) = 0.616 states/eV/atom; total moment = 0.78 μB/atom
1.0
-1.696 1.696 8.545
1.696 -1.696 8.545
1.696 1.696 -8.545
Mn Be Cu
2 2 4
Direct
0.000 0.000 0.000
0.750 0.250 0.500
0.250 0.750 0.500
0.500 0.500 0.000
0.137 0.625 0.012
0.375 0.387 0.512
0.613 0.125 0.988
0.875 0.863 0.488


Entry 11:
MnBeCu2 (PBE, optimized geometry); formation enthalpy at 0 K = 4.70 kcal/mol of atoms; space-group type = C2/m, No. 12; D(E_F) = 0.606 states/eV/atom; total moment = 0.00 μB/atom
1.0
2.396 -4.092 0.000
2.396 4.092 0.000
-0.808 0.000 2.207
Mn Be Cu
1 1 2
Direct
0.000 0.000 0.000
0.500 0.500 0.000
0.000 0.500 0.500
0.500 0.000 0.500


Entry 12:
MnBeCu2 (PBE, optimized geometry); formation enthalpy at 0 K = 0.53 kcal/mol of atoms; space-group type = P4mm, No. 99; D(E_F) = 0.546 states/eV/atom; total moment = 0.59 μB/atom
1.0
2.563 0.000 0.000
0.000 2.563 0.000
0.000 0.000 6.668
Mn Be Cu
1 1 2
Direct
0.000 0.000 0.000
0.500 0.500 0.221
0.000 0.000 0.441
0.500 0.500 0.718


Entry 13:
MnBe2Cu (PBE, optimized geometry); formation enthalpy at 0 K = 2.07 kcal/mol of atoms; space-group type = Cmm2, No. 35; D(E_F) = 0.471 states/eV/atom; total moment = 0.02 μB/atom
1.0
1.479 -1.811 0.000
1.479 1.811 0.000
0.000 0.000 7.304
Mn Be Cu
1 2 1
Direct
0.000 0.000 0.000
0.000 0.000 0.469
0.500 0.500 0.241
0.500 0.500 0.712


Entry 14:
MnBe2Cu (PBE, optimized geometry); formation enthalpy at 0 K = -0.42 kcal/mol of atoms; space-group type = Pm, No. 6; D(E_F) = 0.548 states/eV/atom; total moment = 0.59 μB/atom
1.0
2.560 0.000 0.000
0.000 3.599 0.000
-1.261 0.000 4.344
Mn Be Cu
1 2 1
Direct
0.000 0.000 0.000
0.591 0.500 0.182
0.727 0.000 0.461
0.317 0.500 0.641


Entry 15:
MnBe2Cu (PBE, optimized geometry); formation enthalpy at 0 K = -1.01 kcal/mol of atoms; space-group type = Cmmm, No. 65; D(E_F) = 0.383 states/eV/atom; total moment = 0.00 μB/atom
1.0
1.465 -1.853 0.000
1.465 1.853 0.000
0.000 0.000 7.114
Mn Be Cu
1 2 1
Direct
0.000 0.000 0.000
0.500 0.500 0.247
0.500 0.500 0.753
0.000 0.000 0.500


Entry 16:
MnBeCu2 (PBE, optimized geometry); formation enthalpy at 0 K = 4.90 kcal/mol of atoms; space-group type = Cmmm, No. 65; D(E_F) = 0.904 states/eV/atom; total moment = 0.06 μB/atom
1.0
2.417 -3.785 0.000
2.417 3.785 0.000
0.000 0.000 2.367
Mn Be Cu
1 1 2
Direct
0.000 0.000 0.000
0.500 0.500 0.000
0.000 0.500 0.500
0.500 0.000 0.500


Entry 17:
MnBe2Cu (PBE, optimized geometry); formation enthalpy at 0 K = 8.75 kcal/mol of atoms; space-group type = I-42d, No. 122; D(E_F) = 0.331 states/eV/atom; total moment = 0.52 μB/atom
1.0
-2.981 2.981 2.413
2.981 -2.981 2.413
2.981 2.981 -2.413
Mn Be Cu
2 4 2
Direct
0.000 0.000 0.000
0.750 0.250 0.500
0.135 0.625 0.010
0.375 0.385 0.510
0.615 0.125 0.990
0.875 0.865 0.490
0.250 0.750 0.500
0.500 0.500 0.000


Entry 18:
MnBe2Cu (PBE, optimized geometry); formation enthalpy at 0 K = 0.43 kcal/mol of atoms; space-group type = P4mm, No. 99; D(E_F) = 0.655 states/eV/atom; total moment = 0.54 μB/atom
1.0
2.566 0.000 0.000
0.000 2.566 0.000
0.000 0.000 5.998
Mn Be Cu
1 2 1
Direct
0.000 0.000 0.000
0.000 0.000 0.446
0.500 0.500 0.243
0.500 0.500 0.684


Entry 19:
MnBeCu4 (PBE, optimized geometry); formation enthalpy at 0 K = 5.28 kcal/mol of atoms; space-group type = F-43m, No. 216; D(E_F) = 0.392 states/eV/atom; total moment = 0.60 μB/atom
1.0
0.000 3.356 3.356
3.356 0.000 3.356
3.356 3.356 0.000
Mn Be Cu
1 1 4
Direct
0.000 0.000 0.000
0.750 0.750 0.750
0.375 0.375 0.375
0.375 0.375 0.874
0.375 0.874 0.375
0.874 0.375 0.375


Entry 20:
MnBeCu2 (PBE, optimized geometry); formation enthalpy at 0 K = 1.51 kcal/mol of atoms; space-group type = C2/m, No. 12; D(E_F) = 0.454 states/eV/atom; total moment = 0.80 μB/atom
1.0
4.564 -1.344 0.000
4.564 1.344 0.000
-1.768 0.000 3.668
Mn Be Cu
1 1 2
Direct
0.000 0.000 0.000
0.500 0.500 0.500
0.223 0.223 0.724
0.777 0.777 0.276